Material: K2VIrF
Method: DFT, PBE with a Hubbard U
State: optimized geometry

The value obtained for the density of states at the Fermi level is 0.388 states/eV/atom. Its uncorrected energy is -3.868 eV/atom. Its density is 3.1 Mg/m³.

It has space group P4/mmm (No. 123), with a = 6.254 Å, b = 6.254 Å, c = 4.651 Å, α = 90.00°, β = 90.00° and γ = 90.00°. The asymmetric unit holds K at (0.000, 0.500, 0.000), V at (0.000, 0.000, 0.500), Ir at (0.000, 0.000, 0.000) and F at (0.500, 0.500, 0.500).